Compound: ScTe2P
Source: Alexandria
Functional: GGA-PBE
Structure: relaxed

Cell and atoms, written as POSCAR:
```
ScTe2P
1.0
-1.931 2.023 7.144
1.931 -2.023 7.144
1.931 2.023 -7.144
Sc Te P
1 2 1
Cartesian
0.000 0.000 0.000 Sc
1.931 0.000 5.027 Te
0.000 2.023 2.116 Te
0.000 0.000 7.144 P
```

space-group type	No. 71
E_tot	-20.272	eV/cell
calculated density	4927	kg/m3
D(E_F)	0.64	states/eV per cell
ΔE_f (raw)	-0.56	eV per atom
total moment	0.00	μB/f.u.

Compound: ScTe2P
Source: Alexandria
Functional: GGA-PBE
Structure: relaxed

Cell and atoms, written as POSCAR:
```
ScTe2P
1.0
-1.858 1.950 7.742
1.858 -1.950 7.742
1.858 1.950 -7.742
Sc Te P
1 2 1
Cartesian
0.000 0.000 0.000 Sc
0.000 0.000 6.480 Te
0.000 1.950 2.555 Te
1.858 0.000 2.020 P
```

space-group type	No. 44
E_tot	-20.459	eV/cell
calculated density	4900	kg/m3
D(E_F)	1.07	states/eV per cell
ΔE_f (raw)	-0.61	eV per atom
total moment	0.00	μB/f.u.

Compound: Sc6Te2P
Source: Alexandria
Functional: GGA-PBE
Structure: relaxed

Cell and atoms, written as POSCAR:
```
Sc6Te2P
1.0
6.360 0.000 0.000
0.000 6.360 0.000
0.000 0.000 12.057
Sc Te P
12 4 2
Cartesian
1.237 1.237 1.791 Sc
1.237 1.237 10.266 Sc
1.408 1.408 6.028 Sc
1.773 4.588 0.000 Sc
1.943 4.417 4.238 Sc
1.943 4.417 7.819 Sc
4.417 1.943 4.238 Sc
4.417 1.943 7.819 Sc
4.588 1.773 0.000 Sc
4.953 4.953 6.028 Sc
5.124 5.124 1.791 Sc
5.124 5.124 10.266 Sc
0.000 0.000 4.001 Te
0.000 0.000 8.056 Te
3.180 3.180 2.027 Te
3.180 3.180 10.029 Te
0.000 0.000 0.000 P
3.180 3.180 6.028 P
```

space-group type	No. 136
E_tot	-109.798	eV/cell
calculated density	3785	kg/m3
D(E_F)	15.17	states/eV per cell
ΔE_f (raw)	-0.58	eV per atom
total moment	0.00	μB/f.u.

Compound: ScTeP2
Source: Alexandria
Functional: GGA-PBE
Structure: relaxed

Cell and atoms, written as POSCAR:
```
ScTeP2
1.0
3.770 0.000 0.000
0.000 3.515 0.000
-1.679 0.000 6.135
Sc Te P
1 1 2
Cartesian
0.000 0.000 0.000 Sc
-0.840 0.000 3.068 Te
0.257 1.757 5.004 P
1.834 1.757 1.131 P
```

space-group type	No. 10
E_tot	-22.026	eV/cell
calculated density	4790	kg/m3
D(E_F)	2.54	states/eV per cell
ΔE_f (raw)	-0.43	eV per atom
total moment	0.00	μB/f.u.

Compound: ScTe2P
Source: Alexandria
Functional: GGA-PBE
Structure: relaxed

Cell and atoms, written as POSCAR:
```
ScTe2P
1.0
3.306 -3.733 0.000
3.306 3.733 0.000
0.000 0.000 3.714
Sc Te P
1 2 1
Cartesian
0.000 0.000 0.000 Sc
1.653 1.866 1.857 Te
1.653 -1.866 1.857 Te
3.306 0.000 0.000 P
```

space-group type	No. 65
E_tot	-18.583	eV/cell
calculated density	5998	kg/m3
D(E_F)	1.60	states/eV per cell
ΔE_f (raw)	-0.14	eV per atom
total moment	0.00	μB/f.u.

Compound: ScTe2P
Source: Alexandria
Functional: GGA-PBE
Structure: relaxed

Cell and atoms, written as POSCAR:
```
ScTe2P
1.0
3.614 0.000 0.000
0.000 3.614 0.000
0.000 0.000 6.955
Sc Te P
1 2 1
Cartesian
0.000 0.000 0.000 Sc
1.807 1.807 1.634 Te
1.807 1.807 5.321 Te
0.000 0.000 3.477 P
```

space-group type	No. 123
E_tot	-18.842	eV/cell
calculated density	6053	kg/m3
D(E_F)	1.61	states/eV per cell
ΔE_f (raw)	-0.20	eV per atom
total moment	0.00	μB/f.u.

Compound: Sc3TeP
Source: Alexandria
Functional: GGA-PBE
Structure: relaxed

Cell and atoms, written as POSCAR:
```
Sc3TeP
1.0
6.404 0.000 0.000
0.000 3.939 0.000
-0.875 0.000 8.628
Sc Te P
6 2 2
Cartesian
-0.032 0.985 1.378 Sc
1.648 2.954 3.538 Sc
2.353 2.954 7.227 Sc
3.176 0.985 1.401 Sc
3.880 0.985 5.090 Sc
5.561 2.954 7.250 Sc
0.756 0.985 5.617 Te
4.773 2.954 3.011 Te
1.589 2.954 0.761 P
3.940 0.985 7.867 P
```

space-group type	No. 11
E_tot	-66.097	eV/cell
energy above the most stable polymorph in this dataset	0.00	kJ/mol of atoms
calculated density	4478	kg/m3
D(E_F)	8.98	states/eV per cell
ΔE_f (raw)	-1.10	eV per atom
total moment	0.00	μB/f.u.

Compound: ScTeP
Source: Alexandria
Functional: GGA-PBE
Structure: relaxed

Cell and atoms, written as POSCAR:
```
ScTeP
1.0
3.347 0.000 0.000
1.498 4.036 0.000
0.007 1.517 11.064
Sc Te P
2 2 2
Cartesian
0.787 1.561 1.774 Sc
4.065 3.992 9.290 Sc
0.882 1.618 7.432 Te
3.970 3.935 3.632 Te
2.345 3.160 0.186 P
2.507 2.393 10.878 P
```

space-group type	No. 2
E_tot	-34.536	eV/cell
calculated density	4522	kg/m3
D(E_F)	2.03	states/eV per cell
ΔE_f (raw)	-0.79	eV per atom
total moment	0.00	μB/f.u.